Material: ScFe2WI
Method: DFT, PBE
State: relaxed

a = 4.551 Å, b = 4.551 Å, c = 5.103 Å
α = 90.00°, β = 90.00°, γ = 90.00°
Site moments in Bohr magnetons follow the coordinates.
Atoms (fractional coordinates):
1 I 0.000 0.000 0.000  0.05
2 Sc 0.000 0.000 0.500  -0.02
3 Fe 0.000 0.500 0.000  -2.03
4 Fe 0.500 0.000 0.000  -2.03
5 W 0.500 0.500 0.500  1.96

**Formation energy from raw total energies**: 1.786 eV per atom

---

Material: Y2Al3GaCu12
Method: DFT, PBE
State: relaxed

a = 11.691 Å, b = 11.691 Å, c = 11.691 Å
α = 26.77°, β = 26.77°, γ = 26.77°
Atoms (fractional coordinates):
1 Y 0.642 0.642 0.642
2 Y 0.358 0.358 0.358
3 Al 0.500 0.000 0.000
4 Al 0.000 0.500 0.000
5 Al 0.000 0.000 0.500
6 Ga 0.000 0.000 0.000
7 Cu 0.403 0.403 0.862
8 Cu 0.887 0.887 0.394
9 Cu 0.394 0.887 0.887
10 Cu 0.862 0.403 0.403
11 Cu 0.887 0.394 0.887
12 Cu 0.403 0.862 0.403
13 Cu 0.597 0.597 0.138
14 Cu 0.113 0.113 0.606
15 Cu 0.606 0.113 0.113
16 Cu 0.138 0.597 0.597
17 Cu 0.113 0.606 0.113
18 Cu 0.597 0.138 0.597

**Energy of formation from the pure elements**: 0.025 eV per atom

---

Material: YBeCo2
Method: DFT, PBE
State: relaxed

a = 4.201 Å, b = 4.201 Å, c = 8.044 Å
α = 74.86°, β = 74.86°, γ = 90.00°
Site moments in Bohr magnetons follow the coordinates.
Atoms (fractional coordinates):
1 Y 0.000 0.000 0.000  -0.09
2 Y 0.750 0.250 0.500  -0.09
3 Be 0.500 0.500 0.000  -0.04
4 Be 0.250 0.750 0.500  -0.04
5 Co 0.306 0.125 0.250  0.53
6 Co 0.444 0.625 0.250  0.53
7 Co 0.375 0.694 0.750  0.49
8 Co 0.875 0.556 0.750  0.54

**Energy of formation from the pure elements**: 0.147 eV per atom

---

Material: ScIr2Br
Method: DFT, PBE
State: relaxed

a = 3.249 Å, b = 3.249 Å, c = 6.830 Å
α = 90.00°, β = 90.00°, γ = 90.00°
Atoms (fractional coordinates):
1 Br 0.500 0.500 0.750
2 Ir 0.000 0.000 0.036
3 Ir 0.000 0.000 0.464
4 Sc 0.500 0.500 0.250

**Formation energy from raw total energies**: 0.132 eV per atom
**Offset from the most stable computed form**: 432.7 meV per atom

---

Material: ScAg2W
Method: DFT, PBE
State: relaxed

a = 2.887 Å, b = 4.317 Å, c = 5.713 Å
α = 90.00°, β = 90.00°, γ = 90.00°
Atoms (fractional coordinates):
1 Ag 0.000 0.000 0.992
2 Ag 0.000 0.000 0.508
3 Sc 0.500 0.500 0.250
4 W 0.500 0.500 0.750

**Energy of formation from the pure elements**: 0.387 eV per atom
**Offset from the most stable computed form**: 189.3 meV per atom

---

Material: Y2HfMgC
Method: DFT, PBE
State: relaxed

a = 4.986 Å, b = 4.493 Å, c = 4.986 Å
α = 90.00°, β = 90.00°, γ = 90.00°
Site moments in Bohr magnetons follow the coordinates.
Atoms (fractional coordinates):
1 Y 0.000 0.000 0.500  0.17
2 Y 0.500 0.000 0.000  0.19
3 Mg 0.000 0.500 0.000  0.00
4 Hf 0.500 0.500 0.500  0.73
5 C 0.000 0.000 0.000  -0.02

**Energy of formation from the pure elements**: 0.269 eV per atom
**Offset from the most stable computed form**: 489.3 meV per atom

---

Material: DyZrH2
Method: DFT, PBE
State: relaxed

a = 3.351 Å, b = 3.351 Å, c = 5.941 Å
α = 73.62°, β = 73.62°, γ = 60.00°
Atoms (fractional coordinates):
1 Dy 0.672 0.672 0.984
2 Zr 0.494 0.494 0.517
3 H 0.093 0.093 0.722
4 H 0.241 0.241 0.278

**Offset from the most stable computed form**: 112.8 meV per atom

---

Material: CaHoCd
Method: DFT, PBE
State: relaxed

a = 5.479 Å, b = 5.479 Å, c = 6.781 Å
α = 90.00°, β = 90.00°, γ = 119.50°
Atoms (fractional coordinates):
1 Ca 0.665 0.335 0.750
2 Ca 0.335 0.665 0.250
3 Cd 0.331 0.669 0.750
4 Cd 0.669 0.331 0.250
5 Ho 0.000 0.000 0.000
6 Ho 0.000 0.000 0.500

**Energy of formation from the pure elements**: -0.117 eV per atom
**Offset from the most stable computed form**: 47.3 meV per atom

---

no.,magnetic moment (μB/f.u.)
1,1.378
2,0.000
3,0.809
4,0.000
5,0.000
6,1.796
7,0.000
8,0.002